The following is a DFT calculation (PBE) of an optimized crystal structure of BaNbSCl2.

Structure (POSCAR):
```
BaNbSCl2
1.0
-2.2727 5.2320 -0.5304
-4.0790 -1.3891 3.7753
3.5316 1.9953 4.5499
Cl S Ba Nb
2 1 1 1
direct
0.5000 0.0000 0.0000 Cl
0.0000 0.5000 0.0000 Cl
0.0000 0.0000 0.5000 S
0.0000 0.0000 0.0000 Ba
0.5000 0.5000 0.5000 Nb
```

Values from the calculation:
energy relative to the lowest polymorph listed for this composition = 119.9 kJ/mol of atoms
E_form (uncorrected) = -18 meV/atom
total energy = -3.981 eV/atom
SG = No. 123

The following is a DFT calculation (PBE) of an optimized crystal structure of Sr2MgSn2As4.

Structure (POSCAR):
```
Sr2MgSn2As4
1.0
3.8934 0.0000 0.0000
-1.9467 8.4624 -0.6055
0.0000 -3.3877 7.5218
Sr As Mg Sn
2 4 1 2
direct
0.1197 0.2393 0.5554 Sr
0.8803 0.7607 0.4446 Sr
0.5248 0.0496 0.7666 As
0.4752 0.9504 0.2334 As
0.2006 0.4012 0.2855 As
0.7994 0.5988 0.7145 As
0.0000 0.0000 0.0000 Mg
0.3125 0.6251 0.9550 Sn
0.6875 0.3749 0.0450 Sn
```

Values from the calculation:
calculated formation energy = -534 meV per atom
total energy = -4.041 eV/atom
SG = No. 12

The following is a DFT calculation (PBE) of an optimized crystal structure of BaNbP2O.

Structure (POSCAR):
```
BaNbP2O
1.0
5.4656 0.0000 0.0000
0.0000 5.4656 0.0000
0.0000 0.0000 4.1972
Ba O P Nb
1 1 2 1
direct
0.0000 0.0000 0.0000 Ba
0.0000 0.0000 0.5000 O
0.0000 0.5000 0.0000 P
0.5000 0.0000 0.0000 P
0.5000 0.5000 0.5000 Nb
```

Values from the calculation:
energy relative to the lowest polymorph listed for this composition = 227.1 kJ/mol of atoms
E_form (uncorrected) = 1246 meV/atom
total energy = -4.308 eV/atom
SG = No. 123

The following is a DFT calculation (PBE) of an optimized crystal structure of Rb2Cd2Co.

Structure (POSCAR):
```
Rb2Cd2Co
1.0
-1.6084 3.3121 6.2838
-2.5618 -6.2797 2.6542
5.5847 -1.3691 2.1510
Cd Rb Co
4 4 2
direct
0.3397 0.8397 0.0000 Cd
0.1603 0.3397 0.0000 Cd
0.8397 0.6603 0.0000 Cd
0.6603 0.1603 0.0000 Cd
0.6774 0.8226 0.5000 Rb
0.1774 0.6774 0.5000 Rb
0.8226 0.3226 0.5000 Rb
0.3226 0.1774 0.5000 Rb
0.5000 0.5000 0.0000 Co
0.0000 0.0000 0.0000 Co
```

Values from the calculation:
calculated formation energy = 453 meV per atom
total energy = -1.722 eV/atom
SG = No. 127

Question: Among the records above, which one has the lowest total energy?
Answer: BaNbP2O

Question: Look up the total energy of the first one.
Answer: -3.981 eV/atom